# Mn2Cd2MoO6, optimized geometry, DFT PBE+U
# **E_tot**: -137.5 eV per cell
data_Mn2Cd2MoO6
_chemical_formula_sum 'Mn4 Cd4 Mo2 O12'
_space_group_name_H-M_alt 'C 1 2/m 1'
_space_group_IT_number 12
_space_group_name_Hall '-C 2y'
_cell_length_a 5.761
_cell_length_b 9.386
_cell_length_c 5.789
_cell_angle_alpha 90.00
_cell_angle_beta 111.24
_cell_angle_gamma 90.00
loop_
_atom_site_label
_atom_site_type_symbol
_atom_site_fract_x
_atom_site_fract_y
_atom_site_fract_z
Mn1 Mn 0.000 0.160 0.000
Cd1 Cd 0.000 0.325 0.500
Mo1 Mo 0.000 0.500 0.000
O1 O 0.217 0.337 0.217
O2 O 0.235 0.500 0.788